Below is a geometry-optimized TaAgW2 structure, with properties calculated at the PBE-GGA level.

The structure belongs to space group Cmmm (No. 65); the cell edges are 5.6493, 8.8788 and 2.7044 Å and the angles 90.00°, 90.00° and 90.00°. The inequivalent atoms are Ta at (0.0000, 0.0000, 0.0000), Ag at (0.0000, 0.5000, 0.0000) and W at (0.2500, 0.2500, 0.5000).

As for the calculated total energy: -9.6762 eV per atom. The energy of formation is 46 kJ/mol of atoms. The crystal system is orthorhombic. The polymorph energy (0 for the lowest one) is 0.256 eV/atom.

***

Below is a geometry-optimized Ac5NpSe8 structure, with properties calculated at the PBE-GGA level.

The structure belongs to space group I-4 (No. 82); the cell edges are 9.3085, 9.3085 and 9.2894 Å and the angles 90.00°, 90.00° and 90.00°. The inequivalent atoms are Ac at (0.0000, 0.0000, 0.0000), Ac at (0.1256, 0.2509, 0.6227), Np at (0.0000, 0.5000, 0.2500), Se at (0.0733, 0.1804, 0.2959) and Se at (0.0767, 0.3284, 0.9537).

As for the calculated total energy: -6.2172 eV per atom. The crystal system is tetragonal.

***

Below is a geometry-optimized BaZnAsAu2 structure, with properties calculated at the PBE-GGA level.

The structure belongs to space group P4/mmm (No. 123); the cell edges are 5.1413, 5.1413 and 5.1356 Å and the angles 90.00°, 90.00° and 90.00°. The inequivalent atoms are Ba at (0.0000, 0.0000, 0.0000), Zn at (0.5000, 0.5000, 0.0000), As at (0.5000, 0.5000, 0.5000) and Au at (0.0000, 0.5000, 0.5000).

As for the calculated total energy: -3.0943 eV per atom. The energy of formation is -21 kJ/mol of atoms. The crystal system is tetragonal.

***

Below is a geometry-optimized PmTm2Pb9 structure, with properties calculated at the PBE-GGA level.

The structure belongs to space group P4/mmm (No. 123); the cell edges are 4.8893, 4.8893 and 14.6029 Å and the angles 90.00°, 90.00° and 90.00°. The inequivalent atoms are Pm at (0.0000, 0.0000, 0.0000), Tm at (0.0000, 0.0000, 0.3334), Pb at (0.0000, 0.5000, 0.1704), Pb at (0.0000, 0.5000, 0.5000), Pb at (0.5000, 0.5000, 0.0000) and Pb at (0.5000, 0.5000, 0.3353).

As for the calculated total energy: -4.1875 eV per atom. The energy of formation is -26 kJ/mol of atoms. The crystal system is tetragonal.

***

Below is a geometry-optimized Ho3CdSn3 structure, with properties calculated at the PBE-GGA level.

The structure belongs to space group P6_3/m (No. 176); the cell edges are 9.1762, 9.1762 and 6.1259 Å and the angles 90.00°, 90.00° and 120.00°. The inequivalent atoms are Ho at (0.0400, 0.3589, 0.2500), Cd at (0.3333, 0.6667, 0.7500) and Sn at (0.0332, 0.3420, 0.7500).

As for the calculated total energy: -4.1552 eV per atom. The energy of formation is -33 kJ/mol of atoms. The crystal system is hexagonal.

***

Below is a geometry-optimized BaCa3Pd structure, with properties calculated at the PBE-GGA level.

The structure belongs to space group C2/m (No. 12); the cell edges are 24.0457, 4.3614 and 7.8180 Å and the angles 90.00°, 106.98° and 90.00°. The inequivalent atoms are Ba at (0.0941, 0.0000, 0.2546), Ca at (0.0592, 0.5000, 0.7339), Ca at (0.1883, 0.0000, 0.9378), Ca at (0.2160, 0.5000, 0.6081) and Pd at (0.2014, 0.5000, 0.2067).

As for the calculated total energy: -2.9012 eV per atom. The energy of formation is -27 kJ/mol of atoms. The crystal system is monoclinic. The polymorph energy (0 for the lowest one) is 0.034 eV/atom.

***

Below is a geometry-optimized Rb3Sr2PaSe6 structure, with properties calculated at the PBE-GGA level.

The structure belongs to space group C2/m (No. 12); the cell edges are 7.7309, 13.3774 and 8.3677 Å and the angles 90.00°, 108.02° and 90.00°. The inequivalent atoms are Rb at (0.0000, 0.0000, 0.0000), Rb at (0.0000, 0.3278, 0.0000), Sr at (0.0000, 0.1662, 0.5000), Pa at (0.0000, 0.5000, 0.5000), Se at (0.2178, 0.3489, 0.7000) and Se at (0.2335, 0.5000, 0.2993).

As for the calculated total energy: -4.6872 eV per atom. The crystal system is monoclinic.

***

Below is a geometry-optimized Hg4SbTeI structure, with properties calculated at the PBE-GGA level.

The structure belongs to space group P2_1/m (No. 11); the cell edges are 8.2704, 7.3526 and 8.3618 Å and the angles 90.00°, 104.23° and 90.00°. The inequivalent atoms are Hg at (0.0603, 0.2500, 0.3768), Hg at (0.2555, 0.0649, 0.0250), Hg at (0.4370, 0.7500, 0.6052), Sb at (0.2511, 0.7500, 0.8353), Te at (0.3575, 0.2500, 0.6050) and I at (0.1165, 0.7500, 0.2593).

As for the calculated total energy: -1.4942 eV per atom. The crystal system is monoclinic.

***

Below is a geometry-optimized La5Pr2In2 structure, with properties calculated at the PBE-GGA level.

The structure belongs to space group Cmce (No. 64); the cell edges are 17.0637, 8.7743 and 8.6432 Å and the angles 90.00°, 90.00° and 90.00°. The inequivalent atoms are La at (0.0000, 0.0000, 0.0000), La at (0.1497, 0.1692, 0.3370), Pr at (0.0000, 0.1331, 0.6375) and In at (0.1961, 0.0000, 0.0000).

As for the calculated total energy: -4.4820 eV per atom. The energy of formation is -7 kJ/mol of atoms. The crystal system is orthorhombic.

***

Below is a geometry-optimized HfZr2H structure, with properties calculated at the PBE-GGA level.

The structure belongs to space group P4/mmm (No. 123); the cell edges are 3.0543, 3.0543 and 7.6150 Å and the angles 90.00°, 90.00° and 90.00°. The inequivalent atoms are Hf at (0.0000, 0.0000, 0.0000), Zr at (0.5000, 0.5000, 0.3049) and H at (0.0000, 0.0000, 0.5000).

As for the calculated total energy: -7.4591 eV per atom. The crystal system is tetragonal. The polymorph energy (0 for the lowest one) is 0.269 eV/atom.

***

Below is a geometry-optimized KPuSb structure, with properties calculated at the PBE-GGA level.

The structure belongs to space group R-3m (No. 166, hexagonal axes); the cell edges are 3.8986, 3.8986 and 43.7053 Å and the angles 90.00°, 90.00° and 120.00°. The inequivalent atoms are K at (0.0000, 0.0000, 0.1190), Pu at (0.0000, 0.0000, 0.3235) and Sb at (0.0000, 0.0000, 0.3921).

As for the calculated total energy: -6.6010 eV per atom. The crystal system is trigonal. The polymorph energy (0 for the lowest one) is 0.062 eV/atom.

***

Below is a geometry-optimized MgZn2Ni structure, with properties calculated at the PBE-GGA level.

The structure belongs to space group P4/mmm (No. 123); the cell edges are 3.8113, 3.8113 and 3.9389 Å and the angles 90.00°, 90.00° and 90.00°. The inequivalent atoms are Mg at (0.0000, 0.0000, 0.0000), Zn at (0.0000, 0.5000, 0.5000) and Ni at (0.5000, 0.5000, 0.0000).

As for the calculated total energy: -2.6217 eV per atom. The energy of formation is -14 kJ/mol of atoms. The crystal system is tetragonal.